(1)
The following is a PBE calculation of a relaxed structure of TiInCuRe2, from the Alexandria database.

Properties
energy of formation: 2.54 eV per atom

Lattice parameters (Å, degrees): 4.844 4.844 4.839 90.00 90.00 90.00
Fractional coordinates of all 5 atoms:
Ti (0.000, 0.000, 0.000)
In (0.000, 0.000, 0.500)
Cu (0.500, 0.500, 0.000)
Re (0.000, 0.500, 0.500)
Re (0.500, 0.000, 0.500)

***

(2)
The following is a PBE calculation of a relaxed structure of InCu2Rh, from the Alexandria database.

Properties
energy of formation: -0.16 eV per atom

Lattice parameters (Å, degrees): 3.840 3.840 3.994 90.00 90.00 90.00
Fractional coordinates of all 4 atoms:
In (0.000, 0.000, 0.000)
Cu (0.000, 0.500, 0.500)
Cu (0.500, 0.000, 0.500)
Rh (0.500, 0.500, 0.000)

***

(3)
The following is a PBE calculation of a relaxed structure of InCu2Rh, from the Alexandria database.

Properties
energy of formation: -0.06 eV per atom

Lattice parameters (Å, degrees): 3.021 3.457 5.687 90.00 90.30 90.00
Fractional coordinates of all 4 atoms:
In (0.000, 0.000, 0.000)
Cu (0.498, 0.500, 0.281)
Cu (0.997, 0.000, 0.488)
Rh (0.498, 0.500, 0.739)

***

(4)
The following is a PBE calculation of a relaxed structure of InCu2Rh2, from the Alexandria database.

Properties
offset from the most stable computed form: 0.113 eV per formula unit
energy of formation: 0.06 eV per atom

Lattice parameters (Å, degrees): 6.995 6.995 3.146 90.00 90.00 90.00
Fractional coordinates of all 10 atoms:
In (0.000, 0.000, 0.000)
In (0.500, 0.500, 0.000)
Cu (0.160, 0.340, 0.500)
Cu (0.340, 0.840, 0.500)
Cu (0.660, 0.160, 0.500)
Cu (0.840, 0.660, 0.500)
Rh (0.136, 0.636, 0.000)
Rh (0.364, 0.136, 0.000)
Rh (0.636, 0.864, 0.000)
Rh (0.864, 0.364, 0.000)

***

(5)
The following is a PBE calculation of a relaxed structure of InCu2Rh2, from the Alexandria database.

Properties
offset from the most stable computed form: 0.236 eV per formula unit
energy of formation: 0.09 eV per atom

Lattice parameters (Å, degrees): 3.413 3.413 13.409 90.00 90.00 90.00
Fractional coordinates of all 10 atoms:
In (0.000, 0.000, 0.000)
In (0.500, 0.500, 0.500)
Cu (0.000, 0.500, 0.250)
Cu (0.000, 0.500, 0.750)
Cu (0.500, 0.000, 0.250)
Cu (0.500, 0.000, 0.750)
Rh (0.000, 0.000, 0.395)
Rh (0.000, 0.000, 0.605)
Rh (0.500, 0.500, 0.105)
Rh (0.500, 0.500, 0.895)

***

(6)
The following is a PBE calculation of a relaxed structure of InCu4Rh, from the Alexandria database.

Properties
energy of formation: -0.01 eV per atom

Lattice parameters (Å, degrees): 4.885 4.885 4.885 60.00 60.00 60.00
Fractional coordinates of all 6 atoms:
In (0.000, 0.000, 0.000)
Cu (0.375, 0.375, 0.375)
Cu (0.375, 0.375, 0.874)
Cu (0.375, 0.874, 0.375)
Cu (0.874, 0.375, 0.375)
Rh (0.750, 0.750, 0.750)

***

(7)
The following is a PBE calculation of a relaxed structure of In4CuRh5, from the Alexandria database.

Properties
energy of formation: -0.33 eV per atom

Lattice parameters (Å, degrees): 3.217 3.217 15.724 90.00 90.00 90.00
Fractional coordinates of all 10 atoms:
In (0.000, 0.000, 0.104)
In (0.000, 0.000, 0.314)
In (0.000, 0.000, 0.686)
In (0.000, 0.000, 0.896)
Cu (0.000, 0.000, 0.500)
Rh (0.500, 0.500, 0.000)
Rh (0.500, 0.500, 0.206)
Rh (0.500, 0.500, 0.411)
Rh (0.500, 0.500, 0.589)
Rh (0.500, 0.500, 0.794)

***

(8)
The following is a PBE calculation of a relaxed structure of InCu2Rh, from the Alexandria database.

Properties
energy of formation: 0.02 eV per atom

Lattice parameters (Å, degrees): 2.926 4.519 4.643 90.00 93.44 90.00
Fractional coordinates of all 4 atoms:
In (0.000, 0.000, 0.000)
Cu (0.249, 0.500, 0.731)
Cu (0.751, 0.500, 0.269)
Rh (0.500, 0.000, 0.500)

***

(9)
The following is a PBE calculation of a relaxed structure of InCu2Rh, from the Alexandria database.

Properties
energy of formation: 0.27 eV per atom

Lattice parameters (Å, degrees): 2.881 2.881 25.813 90.00 90.00 120.00
Fractional coordinates of all 12 atoms:
In (0.000, 0.000, 0.000)
In (0.333, 0.667, 0.667)
In (0.667, 0.333, 0.333)
Cu (0.000, 0.000, 0.246)
Cu (0.000, 0.000, 0.754)
Cu (0.333, 0.667, 0.421)
Cu (0.333, 0.667, 0.912)
Cu (0.667, 0.333, 0.088)
Cu (0.667, 0.333, 0.579)
Rh (0.000, 0.000, 0.500)
Rh (0.333, 0.667, 0.167)
Rh (0.667, 0.333, 0.833)

***

(10)
The following is a PBE calculation of a relaxed structure of In2CuRh2, from the Alexandria database.

Properties
offset from the most stable computed form: 0.753 eV per formula unit
energy of formation: -0.07 eV per atom

Lattice parameters (Å, degrees): 7.514 7.514 3.134 90.00 90.00 90.00
Fractional coordinates of all 10 atoms:
In (0.152, 0.348, 0.000)
In (0.348, 0.848, 0.000)
In (0.652, 0.152, 0.000)
In (0.848, 0.652, 0.000)
Cu (0.000, 0.000, 0.000)
Cu (0.500, 0.500, 0.000)
Rh (0.147, 0.647, 0.500)
Rh (0.353, 0.147, 0.500)
Rh (0.647, 0.853, 0.500)
Rh (0.853, 0.353, 0.500)

***

(11)
The following is a PBE calculation of a relaxed structure of InCu2Rh2, from the Alexandria database.

Properties
offset from the most stable computed form: 0.000 eV per formula unit
energy of formation: 0.04 eV per atom

Lattice parameters (Å, degrees): 6.912 6.912 3.119 90.00 90.00 90.00
Fractional coordinates of all 10 atoms:
In (0.000, 0.000, 0.000)
In (0.500, 0.500, 0.000)
Cu (0.124, 0.376, 0.000)
Cu (0.376, 0.876, 0.000)
Cu (0.624, 0.124, 0.000)
Cu (0.876, 0.624, 0.000)
Rh (0.171, 0.671, 0.500)
Rh (0.329, 0.171, 0.500)
Rh (0.671, 0.829, 0.500)
Rh (0.829, 0.329, 0.500)

***

(12)
The following is a PBE calculation of a relaxed structure of In3CuRh, from the Alexandria database.

Properties
offset from the most stable computed form: 0.000 eV per formula unit
energy of formation: 0.19 eV per atom

Lattice parameters (Å, degrees): 5.124 5.124 5.124 90.00 90.00 90.00
Fractional coordinates of all 5 atoms:
In (0.000, 0.000, 0.500)
In (0.000, 0.500, 0.000)
In (0.500, 0.000, 0.000)
Cu (0.500, 0.500, 0.500)
Rh (0.000, 0.000, 0.000)

***

Total energy across the listed records, respectively: -5.384; -4.727; -4.633; -5.065; -5.040; -4.427; -5.510; -4.556; -4.297; -4.925; -5.088; -3.741 eV per atom.